A relaxed LiZrPb crystal. Source: the Alexandria database, functional PBE.

Summary:
Space-group type   Imm2, No. 44
Formation energy   0.017 eV/atom
Volume   21.848 Å³/atom

a b c (Å): 5.7578 5.7578 5.7578
angles (deg): 148.63 138.44 52.98
Closest atoms and distances in Å follow each position.
Element x y z (fractional)
Li1 0.0000 0.0000 0.0000  4 Pb 2.89, 2 Li 3.11, 5 Zr 3.22
Zr1 0.3120 0.3120 0.0000  2 Zr 3.11, 5 Pb 3.18-3.27, 5 Li 3.22
Pb1 0.6294 0.6294 0.0000  4 Li 2.89, 2 Pb 3.11, 4 Zr 3.18